DFT (PBE) results for a relaxed Y2TePt crystal.

Properties
* ρ: 7.6 g cm⁻³
* formation energy (no corrections): -1.27 eV per atom
* DFT total energy: -54.4 eV/cell
* space-group type: C2/m (12)

a = 7.200 Å, b = 4.163 Å, c = 7.691 Å
α = 90.00°, β = 108.29°, γ = 90.00°
Positions (direct):
Y  0.238  0.000  0.213
Y  0.262  0.500  0.787
Y  0.738  0.500  0.213
Y  0.762  0.000  0.787
Te  0.000  0.000  0.500
Te  0.500  0.500  0.500
Pt  0.000  0.500  0.000
Pt  0.500  0.000  0.000